No. 1
NdSmAu | PBE-GGA | relaxed

Cell lengths 4.989, 4.989, 3.943 Å; angles 90.00, 90.00, 120.00 degrees
Fractional positions:
Nd1 0.000 0.000 0.000
Sm1 0.667 0.333 0.551
Au1 0.333 0.667 0.296

ΔE_f	-377	meV/atom
space-group type	No. 156
ΔE to the lowest computed polymorph	2.71	kcal/mol of atoms
total magnetization	0.0	μB/f.u.

No. 2
AlGaTc2 | PBE-GGA | relaxed

Cell lengths 4.323, 4.323, 4.323 Å; angles 60.00, 60.00, 60.00 degrees
Fractional positions:
Al1 0.000 0.000 0.000
Ga1 0.500 0.500 0.500
Tc1 0.250 0.250 0.250
Tc2 0.750 0.750 0.750

ΔE_f	-136	meV/atom
space-group type	No. 225
ΔE to the lowest computed polymorph	0.22	kcal/mol of atoms
total magnetization	0.0	μB/f.u.

No. 3
Tb2Dy3Y5 | PBE-GGA | relaxed

Cell lengths 12.400, 12.400, 12.400 Å; angles 135.93, 55.30, 148.29 degrees
Fractional positions:
Tb1 0.121 0.093 0.214
Tb2 0.379 0.593 0.973
Tb3 0.621 0.407 0.027
Tb4 0.879 0.907 0.786
Dy1 0.123 0.751 0.874
Dy2 0.250 0.250 0.000
Dy3 0.377 0.251 0.627
Dy4 0.623 0.749 0.373
Dy5 0.750 0.750 0.000
Dy6 0.877 0.249 0.126
Y1 0.004 0.250 0.754
Y2 0.128 0.408 0.536
Y3 0.250 0.750 0.500
Y4 0.372 0.908 0.279
Y5 0.496 0.250 0.246
Y6 0.504 0.750 0.754
Y7 0.628 0.092 0.721
Y8 0.750 0.250 0.500
Y9 0.872 0.592 0.464
Y10 0.996 0.750 0.246

ΔE_f	419	meV/atom
space-group type	No. 72
ΔE to the lowest computed polymorph	5.23	kcal/mol of atoms
total magnetization	0.0	μB/f.u.

No. 4
K2CaAg9 | PBE-GGA | relaxed

Cell lengths 10.248, 10.248, 10.248 Å; angles 32.55, 32.55, 32.55 degrees
Fractional positions:
K1 0.144 0.144 0.144
K2 0.856 0.856 0.856
Ca1 0.000 0.000 0.000
Ag1 0.082 0.579 0.579
Ag2 0.332 0.332 0.332
Ag3 0.421 0.421 0.918
Ag4 0.421 0.918 0.421
Ag5 0.500 0.500 0.500
Ag6 0.579 0.082 0.579
Ag7 0.579 0.579 0.082
Ag8 0.668 0.668 0.668
Ag9 0.918 0.421 0.421

ΔE_f	-57	meV/atom
space-group type	No. 166
total magnetization	0.0	μB/f.u.

No. 5
ZrTiBr3 | PBE-GGA | relaxed

Cell lengths 9.166, 9.166, 9.788 Å; angles 111.79, 111.79, 21.80 degrees
Fractional positions:
Zr1 0.088 0.088 0.457
Zr2 0.912 0.912 0.543
Ti1 0.440 0.440 0.312
Ti2 0.560 0.560 0.688
Br1 0.127 0.127 0.899
Br2 0.302 0.302 0.357
Br3 0.434 0.434 0.770
Br4 0.566 0.566 0.230
Br5 0.698 0.698 0.643
Br6 0.873 0.873 0.101

uncorrected formation energy	-5.1	eV per formula unit
space-group type	No. 12
ΔE to the lowest computed polymorph	0.00	kcal/mol of atoms
total magnetization	0.0	μB/f.u.

No. 6
KCdIn2Ag | PBE-GGA | relaxed

Cell lengths 5.455, 5.455, 5.448 Å; angles 90.00, 90.00, 90.00 degrees
Fractional positions:
K1 0.000 0.000 0.000
Cd1 0.500 0.500 0.000
In1 0.000 0.500 0.500
In2 0.500 0.000 0.500
Ag1 0.500 0.500 0.500

ΔE_f	71	meV/atom
space-group type	No. 123
total magnetization	0.0	μB/f.u.

No. 7
Cu2SnPdS4 | PBE-GGA | relaxed

Cell lengths 6.706, 6.706, 6.706 Å; angles 132.01, 132.01, 70.22 degrees
Fractional positions:
Cu1 0.250 0.750 0.500
Cu2 0.750 0.250 0.500
Sn1 0.000 0.000 0.000
Pd1 0.500 0.500 0.000
S1 0.122 0.122 0.518
S2 0.396 0.878 0.000
S3 0.604 0.604 0.482
S4 0.878 0.396 0.000

uncorrected formation energy	-2.1	eV per formula unit
space-group type	No. 121
total magnetization	0.0	μB/f.u.

No. 8
BiHPd3 | PBE-GGA | relaxed

Cell lengths 7.895, 7.895, 5.773 Å; angles 98.91, 98.91, 63.82 degrees
Fractional positions:
Bi1 0.116 0.884 0.750
Bi2 0.371 0.629 0.250
Bi3 0.629 0.371 0.750
Bi4 0.884 0.116 0.250
H1 0.184 0.379 0.757
H2 0.379 0.184 0.257
H3 0.621 0.816 0.743
H4 0.816 0.621 0.243
Pd1 0.011 0.266 0.661
Pd2 0.021 0.616 0.855
Pd3 0.266 0.011 0.161
Pd4 0.288 0.372 0.493
Pd5 0.372 0.288 0.993
Pd6 0.384 0.979 0.645
Pd7 0.616 0.021 0.355
Pd8 0.628 0.712 0.007
Pd9 0.712 0.628 0.507
Pd10 0.734 0.989 0.839
Pd11 0.979 0.384 0.145
Pd12 0.989 0.734 0.339

space-group type	No. 15
ΔE to the lowest computed polymorph	0.85	kcal/mol of atoms
total magnetization	0.0	μB/f.u.

Question: Look up the total magnetization of the seventh one.
Answer: 0.0 μB/f.u.

Question: What is the total magnetization in the sixth record?
Answer: 0.0 μB/f.u.

Question: total magnetization of number 4 (K2CaAg9)?
Answer: 0.0 μB/f.u.

Question: Number 5 is which compound?
Answer: ZrTiBr3